## i
Density functional theory data (PBE-GGA) for a geometry-optimized Mn3RhS structure.

Properties
- M_tot (μB/f.u.) = 14.0
- mass density (g/cm³) = 4.5
- space-group type = No. 221

Lattice parameters (Å, degrees): 4.791 4.791 4.791 90.00 90.00 90.00
Each line ends with the local moment (μB).
Atoms (fractional coordinates):
S  0.500  0.500  0.500  0.06
Mn  0.000  0.500  0.000  4.09
Mn  0.000  0.000  0.500  4.13
Mn  0.500  0.000  0.000  4.15
Rh  0.000  0.000  0.000  0.60

***

## ii
Density functional theory data (PBE-GGA) for a geometry-optimized Mn3RhS structure.

Properties
- M_tot (μB/f.u.) = 0.0
- mass density (g/cm³) = 7.5
- space-group type = No. 221

Lattice parameters (Å, degrees): 4.050 4.050 4.050 90.00 90.00 90.00
Atoms (fractional coordinates):
S  0.000  0.000  0.000
Mn  0.000  0.500  0.000
Mn  0.000  0.000  0.500
Mn  0.500  0.000  0.000
Rh  0.500  0.500  0.500

***

ii has the most favorable energy; the next structure is 38.2 kJ/mol of atoms above.

***

## i
Density functional theory data (PBE-GGA) for a geometry-optimized MnRh2S2 structure.

Properties
- M_tot (μB/f.u.) = 0.2
- mass density (g/cm³) = 7.0
- space-group type = No. 139

Lattice parameters (Å, degrees): 3.729 3.729 6.148 72.34 72.34 90.00
Each line ends with the local moment (μB).
Atoms (fractional coordinates):
S  0.750  0.250  0.500  0.03
S  0.250  0.750  0.500  0.03
Mn  0.000  0.000  0.000  -0.09
Rh  0.385  0.385  0.230  0.11
Rh  0.615  0.615  0.770  0.11

***

## ii
Density functional theory data (PBE-GGA) for a geometry-optimized MnRh2S2 structure.

Properties
- M_tot (μB/f.u.) = 0.3
- mass density (g/cm³) = 7.6
- space-group type = No. 127

Lattice parameters (Å, degrees): 6.758 6.758 3.128 90.00 90.00 90.00
Each line ends with the local moment (μB).
Atoms (fractional coordinates):
S  0.171  0.671  0.500  0.02
S  0.671  0.829  0.500  0.02
S  0.829  0.329  0.500  0.02
S  0.329  0.171  0.500  0.02
Mn  0.000  0.000  0.000  0.20
Mn  0.500  0.500  0.000  0.20
Rh  0.357  0.857  0.000  0.03
Rh  0.857  0.643  0.000  0.01
Rh  0.643  0.143  0.000  0.03
Rh  0.143  0.357  0.000  0.01

***

## iii
Density functional theory data (PBE-GGA) for a geometry-optimized MnRh2S2 structure.

Properties
- M_tot (μB/f.u.) = 0.0
- mass density (g/cm³) = 7.9
- space-group type = No. 127

Lattice parameters (Å, degrees): 6.255 6.255 3.493 90.00 90.00 90.00
Atoms (fractional coordinates):
S  0.332  0.832  0.000
S  0.832  0.668  0.000
S  0.668  0.168  0.000
S  0.168  0.332  0.000
Mn  0.000  0.000  0.000
Mn  0.500  0.500  0.000
Rh  0.160  0.660  0.500
Rh  0.660  0.840  0.500
Rh  0.840  0.340  0.500
Rh  0.340  0.160  0.500

***

iii has the most favorable energy; the next structure is 28.9 kJ/mol of atoms above.

***

## i
Density functional theory data (PBE-GGA) for a geometry-optimized MnSbRh3 structure.

Properties
- M_tot (μB/f.u.) = 0.0
- mass density (g/cm³) = 8.9
- space-group type = No. 221

Lattice parameters (Å, degrees): 4.486 4.486 4.486 90.00 90.00 90.00
Atoms (fractional coordinates):
Sb  0.500  0.500  0.500
Mn  0.000  0.000  0.000
Rh  0.000  0.500  0.000
Rh  0.000  0.000  0.500
Rh  0.500  0.000  0.000

***

## ii
Density functional theory data (PBE-GGA) for a geometry-optimized MnSbRh3 structure.

Properties
- M_tot (μB/f.u.) = 0.5
- mass density (g/cm³) = 7.4
- space-group type = No. 221

Lattice parameters (Å, degrees): 4.765 4.765 4.765 90.00 90.00 90.00
Each line ends with the local moment (μB).
Atoms (fractional coordinates):
Sb  0.000  0.000  0.000  -0.01
Mn  0.500  0.500  0.500  0.69
Rh  0.000  0.500  0.000  -0.06
Rh  0.000  0.000  0.500  -0.10
Rh  0.500  0.000  0.000  -0.01

***

i has the most favorable energy; the next structure is 75.6 kJ/mol of atoms above.

***

## i
Density functional theory data (PBE-GGA) for a geometry-optimized MnSb3Rh structure.

Properties
- M_tot (μB/f.u.) = 0.3
- mass density (g/cm³) = 6.5
- space-group type = No. 221

Lattice parameters (Å, degrees): 5.100 5.100 5.100 90.00 90.00 90.00
Each line ends with the local moment (μB).
Atoms (fractional coordinates):
Sb  0.000  0.500  0.000  -0.04
Sb  0.000  0.000  0.500  -0.04
Sb  0.500  0.000  0.000  -0.09
Mn  0.500  0.500  0.500  0.34
Rh  0.000  0.000  0.000  -0.20

***

## ii
Density functional theory data (PBE-GGA) for a geometry-optimized MnSb3Rh structure.

Properties
- M_tot (μB/f.u.) = 1.6
- mass density (g/cm³) = 7.4
- space-group type = No. 221

Lattice parameters (Å, degrees): 4.894 4.894 4.894 90.00 90.00 90.00
Each line ends with the local moment (μB).
Atoms (fractional coordinates):
Sb  0.000  0.500  0.000  -0.01
Sb  0.000  0.000  0.500  0.04
Sb  0.500  0.000  0.000  -0.05
Mn  0.000  0.000  0.000  1.73
Rh  0.500  0.500  0.500  -0.26

***

ii has the most favorable energy; the next structure is 39.0 kJ/mol of atoms above.

***

## i
Density functional theory data (PBE-GGA) for a geometry-optimized ScMn2Rh structure.

Properties
- M_tot (μB/f.u.) = 1.5
- mass density (g/cm³) = 7.0
- space-group type = No. 216

Lattice parameters (Å, degrees): 4.412 4.412 4.412 60.00 60.00 60.00
Each line ends with the local moment (μB).
Atoms (fractional coordinates):
Mn  0.000  0.000  0.000  -2.76
Mn  0.750  0.750  0.750  3.60
Rh  0.500  0.500  0.500  0.36
Sc  0.250  0.250  0.250  0.13

***

## ii
Density functional theory data (PBE-GGA) for a geometry-optimized ScMn2Rh structure.

Properties
- M_tot (μB/f.u.) = 7.1
- mass density (g/cm³) = 6.7
- space-group type = No. 44

Lattice parameters (Å, degrees): 5.227 5.227 4.405 65.15 65.15 36.07
Each line ends with the local moment (μB).
Atoms (fractional coordinates):
Mn  0.004  0.004  0.996  3.56
Mn  0.770  0.770  0.730  3.26
Rh  0.495  0.495  0.506  0.44
Sc  0.231  0.231  0.269  -0.28

***

## iii
Density functional theory data (PBE-GGA) for a geometry-optimized ScMn2Rh structure.

Properties
- M_tot (μB/f.u.) = 6.4
- mass density (g/cm³) = 6.9
- space-group type = No. 12

Lattice parameters (Å, degrees): 4.894 5.201 2.844 78.34 81.29 115.41
Each line ends with the local moment (μB).
Atoms (fractional coordinates):
Mn  0.000  0.000  0.000  3.16
Mn  0.500  0.000  0.500  3.16
Rh  0.000  0.500  0.500  0.34
Sc  0.500  0.500  0.000  -0.33

***

i has the most favorable energy; the next structure is 12.8 kJ/mol of atoms above.

***

## i
Density functional theory data (PBE-GGA) for a geometry-optimized ScMn2Rh structure.

Properties
- M_tot (μB/f.u.) = 7.6
- mass density (g/cm³) = 6.8
- space-group type = No. 47

Lattice parameters (Å, degrees): 3.734 3.970 4.265 90.00 90.00 90.00
Each line ends with the local moment (μB).
Atoms (fractional coordinates):
Mn  0.000  0.000  0.000  3.53
Mn  0.500  0.500  0.000  3.48
Rh  0.500  0.000  0.500  0.33
Sc  0.000  0.500  0.500  -0.11

***

## ii
Density functional theory data (PBE-GGA) for a geometry-optimized ScMn2Rh structure.

Properties
- M_tot (μB/f.u.) = 7.2
- mass density (g/cm³) = 6.9
- space-group type = No. 225

Lattice parameters (Å, degrees): 4.438 4.438 4.438 60.00 60.00 60.00
Each line ends with the local moment (μB).
Atoms (fractional coordinates):
Sc  0.000  0.000  0.000  -0.12
Mn  0.250  0.250  0.250  3.30
Mn  0.750  0.750  0.750  3.30
Rh  0.500  0.500  0.500  0.59

***

## iii
Density functional theory data (PBE-GGA) for a geometry-optimized ScMn2Rh structure.

Properties
- M_tot (μB/f.u.) = 7.2
- mass density (g/cm³) = 6.7
- space-group type = No. 71

Lattice parameters (Å, degrees): 5.352 5.352 4.373 65.87 65.87 34.47
Each line ends with the local moment (μB).
Atoms (fractional coordinates):
Mn  0.021  0.021  0.979  3.45
Mn  0.479  0.479  0.521  3.45
Rh  0.750  0.750  0.750  0.42
Sc  0.250  0.250  0.250  -0.27

***

i has the most favorable energy; the next structure is 2.7 kJ/mol of atoms above.